VASP calculation (PBE) on a geometry-optimized CuAg4 structure.

CIF file:
```
data_CuAg4
_chemical_formula_sum 'Cu4 Ag16'
_cell_length_a 9.168
_cell_length_b 4.032
_cell_length_c 9.110
_cell_angle_alpha 90.00
_cell_angle_beta 90.35
_cell_angle_gamma 90.00
_space_group_name_H-M_alt 'C 1 2/m 1'
_space_group_IT_number 12
_space_group_name_Hall '-C 2y'
loop_
_atom_site_label
_atom_site_type_symbol
_atom_site_fract_x
_atom_site_fract_y
_atom_site_fract_z
Cu1 Cu 0.049 0.000 0.358
Ag1 Ag 0.046 0.500 0.842
Ag2 Ag 0.146 0.500 0.547
Ag3 Ag 0.150 0.000 0.055
Ag4 Ag 0.249 0.000 0.743
```

Calculated values
As for the distance to the lowest polymorph of the same formula: 33.4 meV per atom. The energy of formation is 5.6 kJ/mol of atoms.